GGA-PBE Tb4GeTe2P, optimized geometry; formation energy (no corrections) = -1.39 eV per atom; E = -5.744 eV per atom
1.0
4.2024 0.0000 0.0000
0.0000 7.2761 0.1275
0.0000 -2.5441 7.0389
Tb Ge Te P
4 1 2 1
Direct
0.5000 0.2364 0.2151
0.5000 0.7636 0.7849
0.0000 0.2588 0.7812
0.0000 0.7412 0.2188
0.5000 0.5000 0.0000
0.5000 0.0000 0.5000
0.0000 0.5000 0.5000
0.0000 0.0000 0.0000



GGA-PBE Tb6Ge2Te3P, optimized geometry; formation energy (no corrections) = -1.33 eV per atom; E = -5.650 eV per atom
1.0
-3.4239 -2.2934 0.9187
4.8216 -7.1296 0.1718
1.9044 4.3722 8.3095
Tb Ge Te P
6 2 3 1
Direct
0.3416 0.9018 0.6831
0.6727 0.5663 0.3455
0.6584 0.0982 0.3169
0.0069 0.2293 0.0138
0.9931 0.7707 0.9862
0.3273 0.4337 0.6545
0.8341 0.6689 0.6682
0.1659 0.3311 0.3318
0.5000 0.5000 0.0000
0.8336 0.1663 0.6673
0.1664 0.8337 0.3327
0.5000 0.0000 0.0000



GGA-PBE Tb8GeTe3P3, optimized geometry; formation energy (no corrections) = -1.34 eV per atom; E = -5.826 eV per atom
1.0
-5.0214 5.1302 -4.0803
1.4251 -7.5850 -2.9355
-4.7430 0.9046 6.9743
Tb Ge Te P
8 1 3 3
Direct
0.2633 0.5266 0.2899
0.7367 0.4734 0.7101
0.7565 0.5131 0.2808
0.2435 0.4869 0.7192
0.7566 0.0242 0.2808
0.2434 0.9758 0.7192
0.2677 0.0242 0.2808
0.7323 0.9758 0.7192
0.0000 0.0000 0.5000
0.0000 0.0000 0.0000
0.0000 0.5000 0.0000
0.5000 0.5000 0.0000
0.5000 0.0000 0.5000
0.5000 0.5000 0.5000
0.0000 0.5000 0.5000